(1)
Entry from Alexandria: a geometry-optimized Pm2Dy2Rh3 structure (PBE). Values from VASP.

Geometry as Quantum ESPRESSO input:
```
&SYSTEM
  ibrav = 0, nat = 7, ntyp = 3
/
ATOMIC_SPECIES
Rh 102.91 Rh.upf
Dy 162.50 Dy.upf
Pm 145.00 Pm.upf
CELL_PARAMETERS angstrom
4.403 -0.005 0.004
-2.196 5.598 -0.193
0.002 -1.053 7.382
ATOMIC_POSITIONS angstrom
Rh 0.008 1.416 5.345
Rh 2.201 3.124 1.848
Dy 0.003 3.983 0.398
Rh 0.000 0.000 0.000
Dy 2.206 0.558 6.795
Pm 2.210 3.426 4.618
Pm -0.001 1.114 2.575
```

The density of states at the Fermi level is 0.44 states/eV/atom. As for the crystal system: triclinic. The space group is P-1.

---

(2)
Entry from Alexandria: a geometry-optimized Tb3Nd4Tm8 structure (PBE). Values from VASP.

Geometry as Quantum ESPRESSO input:
```
&SYSTEM
  ibrav = 0, nat = 15, ntyp = 3
/
ATOMIC_SPECIES
Tm 168.93 Tm.upf
Nd 144.24 Nd.upf
Tb 158.93 Tb.upf
CELL_PARAMETERS angstrom
6.708 -0.109 -0.156
-3.207 8.618 1.150
-3.207 -1.913 8.481
ATOMIC_POSITIONS angstrom
Tm -1.689 1.805 2.593
Nd 3.354 -0.054 -0.078
Nd -1.604 4.309 0.575
Tm -1.513 4.856 6.975
Tb 1.750 4.255 0.497
Tm -3.207 4.791 3.814
Tm 0.146 0.720 6.532
Nd 0.000 0.000 0.000
Tb 0.146 3.298 4.737
Tm 1.806 1.740 2.500
Tm 1.982 4.790 6.881
Tb 1.750 -1.011 4.162
Tm -3.207 1.913 5.817
Nd -1.604 -0.957 4.241
Tm 0.146 5.876 2.942
```

The density of states at the Fermi level is 2.01 states/eV/atom. As for the crystal system: monoclinic. The space group is C2/m.

---

(3)
Entry from Alexandria: a geometry-optimized UPRu3 structure (PBE). Values from VASP.

Geometry as Quantum ESPRESSO input:
```
&SYSTEM
  ibrav = 0, nat = 20, ntyp = 3
/
ATOMIC_SPECIES
Ru 101.07 Ru.upf
U 238.03 U.upf
P 30.97 P.upf
CELL_PARAMETERS angstrom
6.005 0.690 0.000
0.735 5.999 0.000
0.000 0.000 9.042
ATOMIC_POSITIONS angstrom
Ru 0.802 0.796 3.658
Ru 4.370 2.338 0.000
Ru 2.370 4.352 0.000
Ru 3.471 5.445 2.261
U 5.971 5.927 2.261
Ru 5.938 5.894 8.179
Ru 0.802 0.796 0.863
Ru 3.269 1.245 6.782
P 0.368 3.000 4.521
P 0.368 3.000 0.000
U 4.053 4.022 6.782
Ru 4.370 2.338 4.521
Ru 1.269 3.259 6.782
U 0.769 0.763 6.782
U 2.687 2.667 2.261
Ru 2.370 4.352 4.521
Ru 5.471 3.430 2.261
P 3.002 0.345 0.000
Ru 5.938 5.894 5.384
P 3.002 0.345 4.521
```

The density of states at the Fermi level is 1.05 states/eV/atom. As for the crystal system: orthorhombic. The space group is Cmcm.

---

Here are the calculated excess energy over the best structure of this formula in the dataset numbers, same order: 0.59, 3.73, 0.00 (eV per formula unit).